Material: Ac6TlIn2
Method: DFT, PBE-GGA
State: relaxed

abc: 6.879 9.775 10.653
angles: 90.00 84.69 90.00
Atoms (fractional coordinates):
Ac 0.877 0.961 0.207
Ac 0.886 0.663 0.561
Ac 0.910 0.683 0.938
Ac 0.590 0.183 0.562
Ac 0.614 0.163 0.939
Ac 0.623 0.461 0.293
Ac 0.123 0.039 0.793
Ac 0.114 0.337 0.439
Ac 0.090 0.317 0.062
Ac 0.410 0.817 0.438
Ac 0.386 0.837 0.061
Ac 0.377 0.539 0.707
Tl 0.500 0.500 0.000
Tl 0.000 0.000 0.500
In 0.916 0.377 0.756
In 0.584 0.877 0.744
In 0.416 0.123 0.256
In 0.084 0.623 0.244

## Properties
The value obtained for the energy above the most stable polymorph in this dataset is 63 meV per atom. Its space group is P2_1/c, No. 14.

***

Material: Ac6Tl5In
Method: DFT, PBE-GGA
State: relaxed

abc: 5.864 8.225 9.258
angles: 90.00 71.54 90.00
Atoms (fractional coordinates):
Ac 0.834 0.751 0.332
Ac 0.834 0.249 0.332
Ac 0.500 0.248 0.000
Ac 0.500 0.752 0.000
Ac 0.166 0.751 0.668
Ac 0.166 0.249 0.668
Tl 0.667 0.500 0.667
Tl 0.333 0.000 0.334
Tl 0.000 0.500 0.000
Tl 0.667 0.000 0.666
Tl 0.333 0.500 0.333
In 0.000 0.000 0.000

## Properties
The value obtained for the energy above the most stable polymorph in this dataset is 0 meV per atom. Its space group is Cmmm, No. 65.

***

Material: Ac2Tl9In
Method: DFT, PBE-GGA
State: relaxed

abc: 5.065 5.065 14.430
angles: 90.00 90.00 90.00
Atoms (fractional coordinates):
Ac 0.000 0.000 0.328
Ac 0.000 0.000 0.672
Tl 0.500 0.500 0.000
Tl 0.500 0.500 0.335
Tl 0.500 0.500 0.665
Tl 0.500 0.000 0.154
Tl 0.500 0.000 0.500
Tl 0.500 0.000 0.846
Tl 0.000 0.500 0.154
Tl 0.000 0.500 0.500
Tl 0.000 0.500 0.846
In 0.000 0.000 0.000

## Properties
Its space group is P4/mmm, No. 123.

***

Number 1: energy of formation from the pure elements -191 meV per atom, electronic total energy -34.21 eV/f.u.. Number 2: energy of formation from the pure elements -366 meV per atom, electronic total energy -43.61 eV/f.u.. Number 3: energy of formation from the pure elements -171 meV per atom, electronic total energy -34.30 eV/f.u..